The following is a DFT calculation (PBE) of a geometry-optimized Tl2CuIrCl structure.

```
5
Lattice="5.440 0.000 0.000 0.000 5.440 0.000 0.000 0.000 4.245" Properties=species:S:1:pos:R:3 pbc="T T T"
Tl 0.000 2.720 0.000
Tl 2.720 0.000 0.000
Cu 0.000 0.000 0.000
Ir 2.720 2.720 2.123
Cl 0.000 0.000 2.123
```

Properties
**Crystal system**: tetragonal
**Magnetic moment**: 0.24 μB/atom
**D(E_F)**: 4.8 states/eV/cell
**E**: -15.51 eV/f.u.